Compound: Rb2BaReSb
Source: the Alexandria database
Functional: PBE-GGA
Structure: optimized geometry

Calculated values
Crystal system: tetragonal
Uncorrected energy: -14.90 eV for the cell shown
E above lowest polymorph: 0.0 kJ per mole of atoms
ΔE_f (raw): 1.1062 eV/atom

```
Rb2BaReSb
1.0
6.9094 0.0000 0.0000
0.0000 6.9094 0.0000
0.0000 0.0000 6.7138
Rb Ba Re Sb
2 1 1 1
direct
0.0000 0.5000 0.0000
0.5000 0.0000 0.0000
0.0000 0.0000 0.5000
0.5000 0.5000 0.5000
0.0000 0.0000 0.0000
```